First-principles (GGA-PBE) data for crystalline Th8Si3Te4C at its relaxed geometry, as listed in Alexandria via LeMat-Bulk.

The space group is R-3m (No. 166, hexagonal axes) and the conventional cell measures 8.4656, 8.4656 and 22.1756 Å, with angles of 90.00, 90.00 and 120.00 degrees. The asymmetric unit holds Th at (0.0000, 0.0000, 0.2374), Th at (0.0250, 0.5125, 0.2332), Si at (0.0000, 0.5000, 0.5000), Te at (0.0000, 0.0000, 0.0000), Te at (0.0000, 0.5000, 0.0000) and C at (0.0000, 0.0000, 0.5000).

The calculation puts the raw total energy at -6.997 eV/atom. The total magnetization comes out at 0.0 Bohr magnetons per cell.